(1)
{"formula": "YPdS2N", "functional": "PBE", "state": "relaxed", "final_energy_ev_per_cell": -25.3, "density_kg_m3": 3849, "e_above_lowest_polymorph_mev_per_atom": 816, "dos_at_fermi_per_ev_cell": 8.6, "raw_formation_energy_mev_per_atom": 592, "lattice_angstrom": [[5.250, 0.000, 0.000], [0.000, 5.250, 0.000], [0.000, 0.000, 4.281]], "species": ["Y", "Pd", "S", "S", "N"], "fractional_positions": [[0.000, 0.000, 0.000], [0.500, 0.500, 0.500], [0.000, 0.500, 0.000], [0.500, 0.000, 0.000], [0.000, 0.000, 0.500]]}



(2)
{"formula": "ZnPdSN2", "functional": "PBE", "state": "relaxed", "final_energy_ev_per_cell": -19.5, "density_kg_m3": 5043, "e_above_lowest_polymorph_mev_per_atom": 199, "dos_at_fermi_per_ev_cell": 3.7, "raw_formation_energy_mev_per_atom": 1546, "lattice_angstrom": [[3.768, 0.000, 0.000], [0.000, 3.768, 0.000], [0.000, 0.000, 5.377]], "species": ["Zn", "Pd", "S", "N", "N"], "fractional_positions": [[0.000, 0.000, 0.000], [0.500, 0.500, 0.500], [0.000, 0.000, 0.500], [0.000, 0.500, 0.000], [0.500, 0.000, 0.000]]}